No. 1
DFT (PBE) results for GdAgHg2 after structural relaxation.

The formation energy from the elements is -0.989 eV/f.u. As for the space group: P4/mmm.

Cell: 4.562 4.586 4.586 Å, 90.00 90.00 90.00°
Fractional coordinates of all 4 atoms:
Hg 0.000 0.000 0.500
Hg 0.000 0.500 0.000
Gd 0.500 0.500 0.500
Ag 0.500 0.000 0.000


No. 2
DFT (PBE) results for Pm2PaTc after structural relaxation.

The formation energy from the elements is 1.918 eV/f.u. As for the space group: R-3m.

Cell: 3.302 3.302 11.107 Å, 81.45 81.45 60.00°
Fractional coordinates of all 4 atoms:
Pa 0.000 0.000 0.000
Tc 0.500 0.500 0.500
Pm 0.101 0.101 0.698
Pm 0.899 0.899 0.302


No. 3
DFT (PBE) results for H2SeI2 after structural relaxation.

As for the space group: P2_1/c.

Cell: 10.718 8.541 7.141 Å, 90.00 94.51 90.00°
Fractional coordinates of all 20 atoms:
Se 0.570 0.682 0.730
Se 0.070 0.818 0.730
Se 0.930 0.182 0.270
Se 0.430 0.318 0.270
H 0.397 0.151 0.316
H 0.603 0.849 0.684
H 0.190 0.832 0.850
H 0.897 0.349 0.316
H 0.690 0.668 0.850
H 0.810 0.168 0.150
H 0.310 0.332 0.150
H 0.103 0.651 0.684
I 0.194 0.366 0.629
I 0.932 0.734 0.049
I 0.068 0.266 0.951
I 0.306 0.866 0.371
I 0.432 0.766 0.049
I 0.806 0.634 0.371
I 0.568 0.234 0.951
I 0.694 0.134 0.629


No. 4
DFT (PBE) results for Zn3InPt after structural relaxation.

The calculation puts the relative energy among the computed polymorphs at 0 meV per atom. The formation energy from the elements is -0.272 eV/f.u. As for the space group: Pm-3m.

Cell: 4.884 4.884 4.884 Å, 90.00 90.00 90.00°
Fractional coordinates of all 5 atoms:
In 0.500 0.500 0.500
Zn 0.500 0.000 0.000
Zn 0.000 0.000 0.500
Zn 0.000 0.500 0.000
Pt 0.000 0.000 0.000


No. 5
DFT (PBE) results for RePt3 after structural relaxation.

The formation energy from the elements is 0.448 eV/f.u. As for the space group: Pm-3m.

Cell: 3.950 3.950 3.950 Å, 90.00 90.00 90.00°
Fractional coordinates of all 4 atoms:
Pt 0.000 0.500 0.500
Pt 0.000 0.000 0.000
Pt 0.500 0.000 0.500
Re 0.500 0.500 0.000


No. 6
DFT (PBE) results for Pm2NdSm6Mg after structural relaxation.

The formation energy from the elements is 1.111 eV/f.u. As for the space group: C2/c.

Cell: 9.210 9.044 9.044 Å, 117.84 91.26 91.26°
Fractional coordinates of all 20 atoms:
Sm 0.402 0.503 0.272
Sm 0.790 0.427 0.005
Sm 0.944 0.856 0.216
Sm 0.056 0.144 0.784
Sm 0.098 0.728 0.497
Sm 0.556 0.784 0.144
Sm 0.902 0.272 0.503
Sm 0.444 0.216 0.856
Sm 0.290 0.005 0.427
Sm 0.210 0.573 0.995
Sm 0.710 0.995 0.573
Sm 0.598 0.497 0.728
Nd 0.250 0.976 0.024
Nd 0.750 0.024 0.976
Pm 0.053 0.330 0.215
Pm 0.447 0.785 0.670
Pm 0.947 0.670 0.785
Pm 0.553 0.215 0.330
Mg 0.750 0.578 0.422
Mg 0.250 0.422 0.578


No. 7
DFT (PBE) results for LaAs3Pd10 after structural relaxation.

The formation energy from the elements is -7.127 eV/f.u. As for the space group: Fm-3m.

Cell: 8.898 8.898 8.898 Å, 60.00 60.00 60.00°
Fractional coordinates of all 28 atoms:
La 0.250 0.250 0.250
La 0.750 0.750 0.750
Pd 0.615 0.615 0.615
Pd 0.000 0.350 0.000
Pd 0.385 0.385 0.385
Pd 0.155 0.615 0.615
Pd 0.350 0.000 0.000
Pd 0.845 0.385 0.385
Pd 0.000 0.650 0.350
Pd 0.650 0.000 0.350
Pd 0.000 0.000 0.650
Pd 0.000 0.650 0.000
Pd 0.650 0.350 0.000
Pd 0.385 0.845 0.385
Pd 0.000 0.350 0.650
Pd 0.615 0.615 0.155
Pd 0.615 0.155 0.615
Pd 0.350 0.650 0.000
Pd 0.385 0.385 0.845
Pd 0.350 0.000 0.650
Pd 0.650 0.000 0.000
Pd 0.000 0.000 0.350
As 0.740 0.260 0.260
As 0.260 0.740 0.740
As 0.260 0.740 0.260
As 0.260 0.260 0.740
As 0.740 0.260 0.740
As 0.740 0.740 0.260


No. 8
DFT (PBE) results for BaLaPuN3 after structural relaxation.

As for the space group: P2_1/m. The calculation puts the energy relative to the elements, uncorrected at -4.74 eV per formula unit.

Cell: 3.759 10.225 7.139 Å, 105.17 90.00 90.00°
Fractional coordinates of all 12 atoms:
Ba 0.750 0.733 0.778
Ba 0.250 0.267 0.222
Pu 0.250 0.067 0.594
Pu 0.750 0.933 0.406
N 0.250 0.551 0.840
N 0.250 0.838 0.505
N 0.250 0.203 0.833
N 0.750 0.797 0.167
N 0.750 0.449 0.160
N 0.750 0.162 0.495
La 0.250 0.617 0.190
La 0.750 0.383 0.810


No. 9
DFT (PBE) results for CdAu3S after structural relaxation.

The calculation puts the relative energy among the computed polymorphs at 653 meV per atom. As for the space group: Pm-3m. The calculation puts the energy relative to the elements, uncorrected at 5.19 eV per formula unit.

Cell: 5.141 5.141 5.141 Å, 90.00 90.00 90.00°
Fractional coordinates of all 5 atoms:
Au 0.000 0.000 0.500
Au 0.000 0.500 0.000
Au 0.500 0.000 0.000
Cd 0.000 0.000 0.000
S 0.500 0.500 0.500


No. 10
DFT (PBE) results for K2ZrCrS4 after structural relaxation.

As for the space group: I-4. The calculation puts the energy relative to the elements, uncorrected at -9.05 eV per formula unit.

Cell: 6.628 6.628 6.628 Å, 101.88 113.40 113.40°
Fractional coordinates of all 8 atoms:
S 0.423 0.859 0.750
S 0.109 0.250 0.673
S 0.577 0.327 0.436
S 0.891 0.564 0.141
K 0.500 0.750 0.250
K 0.000 0.000 0.000
Zr 0.500 0.250 0.750
Cr 0.000 0.500 0.500


No. 11
DFT (PBE) results for Tb7Dy3 after structural relaxation.

The calculation puts the relative energy among the computed polymorphs at 182 meV per atom. The formation energy from the elements is 1.953 eV/f.u. As for the space group: P6_3mc.

Cell: 6.309 10.837 10.837 Å, 120.00 90.00 90.00°
Fractional coordinates of all 20 atoms:
Tb 0.379 0.118 0.237
Tb 0.995 0.667 0.333
Tb 0.728 0.529 0.471
Tb 0.228 0.471 0.941
Tb 0.879 0.882 0.118
Tb 0.495 0.333 0.667
Tb 0.379 0.118 0.882
Tb 0.879 0.882 0.763
Tb 0.728 0.529 0.059
Tb 0.228 0.471 0.529
Tb 0.379 0.763 0.882
Tb 0.228 0.059 0.529
Tb 0.728 0.941 0.471
Tb 0.879 0.237 0.118
Dy 0.864 0.211 0.789
Dy 0.864 0.577 0.789
Dy 0.864 0.211 0.423
Dy 0.364 0.789 0.211
Dy 0.364 0.789 0.577
Dy 0.364 0.423 0.211


No. 12
DFT (PBE) results for SeS after structural relaxation.

The calculation puts the relative energy among the computed polymorphs at 345 meV per atom. As for the space group: Fm-3m. The calculation puts the energy relative to the elements, uncorrected at 0.78 eV per formula unit.

Cell: 3.832 3.832 3.832 Å, 60.00 60.00 60.00°
Fractional coordinates of all 2 atoms:
S 0.000 0.000 0.000
Se 0.500 0.500 0.500


No. 13
DFT (PBE) results for ZnCrCd3 after structural relaxation.

The calculation puts the relative energy among the computed polymorphs at 0 meV per atom. The formation energy from the elements is 3.280 eV/f.u. As for the space group: Pm-3m.

Cell: 5.003 5.003 5.003 Å, 90.00 90.00 90.00°
Fractional coordinates of all 5 atoms:
Cd 0.000 0.500 0.000
Cd 0.000 0.000 0.500
Cd 0.500 0.000 0.000
Zn 0.000 0.000 0.000
Cr 0.500 0.500 0.500


No. 14
DFT (PBE) results for B2Se4I after structural relaxation.

The calculation puts the relative energy among the computed polymorphs at 0 meV per atom. As for the space group: P1. The calculation puts the energy relative to the elements, uncorrected at -0.32 eV per formula unit.

Cell: 6.330 7.053 15.830 Å, 121.45 70.04 101.95°
Fractional coordinates of all 14 atoms:
Se 0.560 0.584 0.332
Se 0.504 0.099 0.348
Se 0.431 0.676 0.761
Se 0.202 0.152 0.666
Se 0.705 0.191 0.672
Se 0.927 0.716 0.249
Se 0.989 0.201 0.232
Se 0.051 0.675 0.762
B 0.453 0.361 0.704
B 0.805 0.974 0.277
B 0.669 0.321 0.308
B 0.981 0.359 0.704
I 0.067 0.477 0.440
I 0.907 0.964 0.044


No. 15
DFT (PBE) results for Be2AlCl after structural relaxation.

The calculation puts the relative energy among the computed polymorphs at 832 meV per atom. As for the space group: I4/mmm. The calculation puts the energy relative to the elements, uncorrected at 3.22 eV per formula unit.

Cell: 5.504 5.504 5.504 Å, 141.51 141.51 55.56°
Fractional coordinates of all 4 atoms:
Al 0.750 0.250 0.500
Cl 0.250 0.750 0.500
Be 0.000 0.000 0.000
Be 0.500 0.500 0.000


No. 16
DFT (PBE) results for SrTl2SnBr6 after structural relaxation.

As for the space group: R3. The calculation puts the energy relative to the elements, uncorrected at -12.03 eV per formula unit.

Cell: 8.129 8.129 8.344 Å, 60.85 60.85 60.00°
Fractional coordinates of all 10 atoms:
Sn 0.319 0.319 0.042
Br 0.966 0.593 0.264
Br 0.178 0.966 0.264
Br 0.592 0.178 0.264
Br 0.098 0.463 0.769
Br 0.463 0.670 0.769
Br 0.670 0.098 0.769
Tl 0.028 0.028 0.915
Tl 0.529 0.529 0.414
Sr 0.818 0.818 0.545


No. 17
DFT (PBE) results for LaMgCu after structural relaxation.

The formation energy from the elements is -0.193 eV/f.u. As for the space group: I4mm.

Cell: 6.653 6.653 3.355 Å, 75.40 75.39 29.21°
Fractional coordinates of all 3 atoms:
Mg 0.632 0.632 0.368
Cu 0.016 0.016 0.984
La 0.352 0.352 0.648


No. 18
DFT (PBE) results for TeI2BrO after structural relaxation.

The calculation puts the relative energy among the computed polymorphs at 635 meV per atom. As for the space group: P4/mmm. The calculation puts the energy relative to the elements, uncorrected at 3.13 eV per formula unit.

Cell: 6.239 6.239 3.797 Å, 90.00 90.00 90.00°
Fractional coordinates of all 5 atoms:
I 0.500 0.000 0.000
I 0.000 0.500 0.000
Te 0.500 0.500 0.500
O 0.000 0.000 0.500
Br 0.000 0.000 0.000


No. 19
DFT (PBE) results for Cd4TeS6 after structural relaxation.

As for the space group: Cc. The calculation puts the energy relative to the elements, uncorrected at -3.63 eV per formula unit.

Cell: 7.806 7.258 12.342 Å, 80.00 71.57 57.47°
Fractional coordinates of all 22 atoms:
S 0.129 0.248 0.648
S 0.974 0.748 0.148
S 0.417 0.150 0.008
S 0.977 0.635 0.443
S 0.980 0.632 0.861
S 0.425 0.650 0.508
S 0.028 0.185 0.307
S 0.944 0.135 0.943
S 0.774 0.047 0.667
S 0.512 0.547 0.167
S 0.479 0.685 0.807
S 0.527 0.132 0.361
Te 0.188 0.245 0.829
Te 0.739 0.745 0.329
Cd 0.857 0.171 0.169
Cd 0.244 0.777 0.348
Cd 0.575 0.746 0.982
Cd 0.164 0.849 0.693
Cd 0.294 0.349 0.193
Cd 0.804 0.671 0.669
Cd 0.698 0.246 0.482
Cd 0.631 0.277 0.848


No. 20
DFT (PBE) results for SrGa3Ir3 after structural relaxation.

The calculation puts the relative energy among the computed polymorphs at 0 meV per atom. The formation energy from the elements is -1.356 eV/f.u. As for the space group: R-3.

Cell: 6.696 6.696 8.429 Å, 66.60 66.60 60.00°
Fractional coordinates of all 14 atoms:
Ir 0.569 0.762 0.624
Ir 0.762 0.045 0.624
Ir 0.431 0.238 0.376
Ir 0.238 0.955 0.376
Ir 0.955 0.431 0.376
Ir 0.045 0.569 0.624
Sr 0.329 0.329 0.012
Sr 0.671 0.671 0.988
Ga 0.184 0.682 0.285
Ga 0.849 0.184 0.285
Ga 0.682 0.849 0.285
Ga 0.318 0.151 0.715
Ga 0.816 0.318 0.715
Ga 0.151 0.816 0.715


| no. | E_tot (Ry per atom) |
| --- | --- |
| 1 | -0.340 |
| 2 | -0.504 |
| 3 | -0.198 |
| 4 | -0.189 |
| 5 | -0.553 |
| 6 | -0.317 |
| 7 | -0.409 |
| 8 | -0.623 |
| 9 | -0.142 |
| 10 | -0.422 |
| 11 | -0.325 |
| 12 | -0.251 |
| 13 | -0.152 |
| 14 | -0.306 |
| 15 | -0.181 |
| 16 | -0.239 |
| 17 | -0.265 |
| 18 | -0.143 |
| 19 | -0.235 |
| 20 | -0.406 |